[1]
# Ca2ScHg (PBE, relaxed)
# electronic total energy: -11.10 eV/f.u.
# energy of formation: -117 meV per atom
# size of the total moment: 1.27 μB per formula unit
# ρ: 4.5 Mg/m³
data_Ca2ScHg
_cell_length_a 3.641
_cell_length_b 3.641
_cell_length_c 9.042
_cell_angle_alpha 90.00
_cell_angle_beta 90.00
_cell_angle_gamma 90.00
_symmetry_space_group_name_H-M 'P 4/m m m'
_symmetry_Int_Tables_number 123
_symmetry_space_group_name_Hall '-P 4 2'
loop_
_atom_site_label
_atom_site_type_symbol
_atom_site_fract_x
_atom_site_fract_y
_atom_site_fract_z
Ca1 Ca 0.000 0.000 0.219
Sc1 Sc 0.500 0.500 0.500
Hg1 Hg 0.500 0.500 0.000

=====

[2]
# Y6In2Tc (PBE, relaxed)
# electronic total energy: -57.24 eV/f.u.
# energy of formation: -290 meV per atom
# size of the total moment: 0.00 μB per formula unit
# ρ: 5.7 Mg/m³
data_Y6In2Tc
_cell_length_a 8.5814
_cell_length_b 8.5814
_cell_length_c 3.9425
_cell_angle_alpha 90.00
_cell_angle_beta 90.00
_cell_angle_gamma 120.00
_symmetry_space_group_name_H-M 'P -6 2 m'
_symmetry_Int_Tables_number 189
_symmetry_space_group_name_Hall 'P -6 -2'
loop_
_atom_site_label
_atom_site_type_symbol
_atom_site_fract_x
_atom_site_fract_y
_atom_site_fract_z
Y1 Y 0.0000 0.3890 0.0000
Y2 Y 0.0000 0.7580 0.5000
In1 In 0.3333 0.6667 0.5000
Tc1 Tc 0.0000 0.0000 0.0000

=====

[3]
# Zn5Ag3I12 (PBE, relaxed)
# electronic total energy: -38.70 eV/f.u.
# size of the total moment: 0.00 μB per formula unit
# ρ: 5.2 Mg/m³
data_Zn5Ag3I12
_cell_length_a 17.721
_cell_length_b 17.721
_cell_length_c 17.721
_cell_angle_alpha 90.00
_cell_angle_beta 90.00
_cell_angle_gamma 90.00
_symmetry_space_group_name_H-M 'I a -3 d'
_symmetry_Int_Tables_number 230
_symmetry_space_group_name_Hall '-I 4bd 2c 3'
loop_
_atom_site_label
_atom_site_type_symbol
_atom_site_fract_x
_atom_site_fract_y
_atom_site_fract_z
Zn1 Zn 0.000 0.000 0.000
Zn2 Zn 0.000 0.250 0.375
Ag1 Ag 0.000 0.250 0.125
I1 I 0.027 0.058 0.653

=====

[4]
# ThMgPt (PBE, relaxed)
# electronic total energy: -17.26 eV/f.u.
# energy of formation: -734 meV per atom
# size of the total moment: 0.00 μB per formula unit
# ρ: 9.6 Mg/m³
data_ThMgPt
_cell_length_a 6.783
_cell_length_b 6.783
_cell_length_c 6.783
_cell_angle_alpha 90.00
_cell_angle_beta 90.00
_cell_angle_gamma 90.00
_symmetry_space_group_name_H-M 'F -4 3 m'
_symmetry_Int_Tables_number 216
_symmetry_space_group_name_Hall 'F -4 2 3'
loop_
_atom_site_label
_atom_site_type_symbol
_atom_site_fract_x
_atom_site_fract_y
_atom_site_fract_z
Th1 Th 0.000 0.000 0.000
Mg1 Mg 0.000 0.000 0.500
Pt1 Pt 0.250 0.250 0.750

=====

[5]
# ReAg2Ir (PBE, relaxed)
# electronic total energy: -24.45 eV/f.u.
# energy of formation: 640 meV per atom
# energy above the most stable polymorph in this dataset: 167 kJ/mol of formula units
# size of the total moment: 0.00 μB per formula unit
# ρ: 15.5 Mg/m³
data_ReAg2Ir
_cell_length_a 4.158
_cell_length_b 4.158
_cell_length_c 7.350
_cell_angle_alpha 90.00
_cell_angle_beta 90.00
_cell_angle_gamma 90.00
_symmetry_space_group_name_H-M 'I -4 m 2'
_symmetry_Int_Tables_number 119
_symmetry_space_group_name_Hall 'I -4 -2'
loop_
_atom_site_label
_atom_site_type_symbol
_atom_site_fract_x
_atom_site_fract_y
_atom_site_fract_z
Re1 Re 0.000 0.000 0.000
Ag1 Ag 0.000 0.000 0.500
Ag2 Ag 0.000 0.500 0.750
Ir1 Ir 0.000 0.500 0.250

=====

[6]
# LaTaBe3 (PBE, relaxed)
# electronic total energy: -24.28 eV/f.u.
# energy of formation: 735 meV per atom
# energy above the most stable polymorph in this dataset: 0 kJ/mol of formula units
# size of the total moment: 0.00 μB per formula unit
# ρ: 5.9 Mg/m³
data_LaTaBe3
_cell_length_a 4.604
_cell_length_b 4.604
_cell_length_c 4.604
_cell_angle_alpha 90.00
_cell_angle_beta 90.00
_cell_angle_gamma 90.00
_symmetry_space_group_name_H-M 'P m -3 m'
_symmetry_Int_Tables_number 221
_symmetry_space_group_name_Hall '-P 4 2 3'
loop_
_atom_site_label
_atom_site_type_symbol
_atom_site_fract_x
_atom_site_fract_y
_atom_site_fract_z
La1 La 0.000 0.000 0.000
Ta1 Ta 0.500 0.500 0.500
Be1 Be 0.000 0.500 0.500

=====

[7]
# GaPb3I (PBE, relaxed)
# electronic total energy: -14.51 eV/f.u.
# energy above the most stable polymorph in this dataset: 0 kJ/mol of formula units
# size of the total moment: 0.00 μB per formula unit
# ρ: 7.4 Mg/m³
data_GaPb3I
_cell_length_a 5.680
_cell_length_b 5.680
_cell_length_c 5.680
_cell_angle_alpha 90.00
_cell_angle_beta 90.00
_cell_angle_gamma 90.00
_symmetry_space_group_name_H-M 'P m -3 m'
_symmetry_Int_Tables_number 221
_symmetry_space_group_name_Hall '-P 4 2 3'
loop_
_atom_site_label
_atom_site_type_symbol
_atom_site_fract_x
_atom_site_fract_y
_atom_site_fract_z
Ga1 Ga 0.000 0.000 0.000
Pb1 Pb 0.000 0.000 0.500
I1 I 0.500 0.500 0.500

=====

[8]
# Al2HgOs (PBE, relaxed)
# electronic total energy: -17.92 eV/f.u.
# energy of formation: 274 meV per atom
# size of the total moment: 0.00 μB per formula unit
# ρ: 10.7 Mg/m³
data_Al2HgOs
_cell_length_a 2.916
_cell_length_b 2.916
_cell_length_c 8.094
_cell_angle_alpha 90.00
_cell_angle_beta 90.00
_cell_angle_gamma 90.00
_symmetry_space_group_name_H-M 'P 4 m m'
_symmetry_Int_Tables_number 99
loop_
_symmetry_equiv_pos_as_xyz
'x,y,z'
'-y,x,z'
'-x,-y,z'
'y,-x,z'
'-x,y,z'
'y,x,z'
'x,-y,z'
'-y,-x,z'
loop_
_atom_site_label
_atom_site_type_symbol
_atom_site_fract_x
_atom_site_fract_y
_atom_site_fract_z
Al1 Al 0.000 0.000 0.000
Al2 Al 0.500 0.500 0.254
Hg1 Hg 0.000 0.000 0.544
Os1 Os 0.500 0.500 0.811

=====

Question: Which formula does entry 3 have?
Answer: Zn5Ag3I12

=====

Question: The lowest ρ belongs to which entry?
Answer: Ca2ScHg

=====

Question: What is the electronic total energy in the sixth record?
Answer: -24.28 eV/f.u.

=====

Question: Among the records above, which one has the lowest ρ?
Answer: Ca2ScHg